#1
The following is a PBE calculation of a geometry-optimized FeRuAu2 structure, from Alexandria via LeMat-Bulk.

a b c (Å): 4.489 4.489 3.153
angles (deg): 90.00 90.00 90.00
Element x y z (fractional)
Fe 0.500 0.000 0.500
Au 0.500 0.500 0.000
Au 0.000 0.000 0.000
Ru 0.000 0.500 0.500

Summary:
Density of states at the Fermi level (states/eV/atom): 1.231
Space group: P4/mmm (123)

---

#2
The following is a PBE calculation of a geometry-optimized FeRuAu2 structure, from Alexandria via LeMat-Bulk.

a b c (Å): 4.936 4.936 4.936
angles (deg): 133.04 132.93 68.68
Element x y z (fractional)
Ru 0.250 0.750 0.500
Au 0.500 0.500 0.000
Au 0.000 0.000 0.000
Fe 0.750 0.250 0.500

Summary:
Density of states at the Fermi level (states/eV/atom): 0.961
Space group: I4/mmm (139)

---

#3
The following is a PBE calculation of a geometry-optimized FeRuAu2 structure, from Alexandria via LeMat-Bulk.

a b c (Å): 2.793 2.793 7.925
angles (deg): 90.00 90.00 90.00
Element x y z (fractional)
Ru 0.500 0.500 0.716
Au 0.500 0.500 0.276
Au 0.000 0.000 0.986
Fe 0.000 0.000 0.522

Summary:
Density of states at the Fermi level (states/eV/atom): 0.965
Space group: P4mm (99)

---

#4
The following is a PBE calculation of a geometry-optimized FeRuAu2 structure, from Alexandria via LeMat-Bulk.

a b c (Å): 4.909 4.909 4.909
angles (deg): 80.37 80.37 32.65
Element x y z (fractional)
Ru 0.250 0.250 0.250
Au 0.001 0.001 0.998
Au 0.499 0.499 0.502
Fe 0.750 0.750 0.750

Summary:
Density of states at the Fermi level (states/eV/atom): 1.027
Space group: C2/m (12)

---

We find #3 to be the most stable, with the next structure 14.6 kJ/mol of atoms higher.